[1]
Below is crystalline K3Hg at its relaxed geometry, with properties calculated at the GGA-PBE level.

Geometry as extended XYZ:
```
8
Lattice="15.231 0.000 0.000 0.000 4.593 0.000 -2.917 0.000 6.002" Properties=species:S:1:pos:R:3 pbc="T T T"
K 0.000 0.000 0.000
K 1.008 0.000 4.204
K 3.691 2.297 1.798
K 7.616 2.297 0.000
K 8.624 2.297 4.204
K 11.306 0.000 1.798
Hg -1.458 2.297 3.001
Hg 6.157 0.000 3.001
```

***

[2]
4
Lattice="4.519 0.000 0.000 0.000 4.519 0.000 0.000 0.000 3.946" Properties=species:S:1:pos:R:3 comment="MgNpGe2 | Alexandria via LeMat-Bulk | GGA-PBE | relaxed" relative_energy_mev_per_atom=0 pbc="T T T"
Mg 0.000 0.000 0.000
Np 2.259 2.259 0.000
Ge 0.000 2.259 1.973
Ge 2.259 0.000 1.973

***

| no. | spin magnetization (μB/atom) | final energy (eV per cell) | formation enthalpy at 0 K (meV per atom) |
| --- | --- | --- | --- |
| 1 | 0.000 | -8.029 | -105 |
| 2 | 0.906 | -24.528 | -189 |